Cs2SrCo3F12 (PBE with a Hubbard U, relaxed); size of the total moment = 11.000 Bohr magnetons per cell; crystal system = trigonal; SG = R-3m, No. 166; VASP energy = -87.0 eV/cell
1.0
-3.665 -6.424 -1.024
3.969 -6.270 -0.828
-0.041 -4.999 5.546
Cs Sr Co F
2 1 3 12
Cartesian
0.161 -10.828 2.261
0.102 -6.865 1.433
0.000 0.000 0.000
-1.832 -3.212 -0.512
1.984 -3.135 -0.414
-0.021 -2.499 2.773
0.050 -8.202 4.498
0.255 -13.324 0.537
2.062 -12.614 3.813
-2.192 -9.084 0.433
-1.744 -12.691 3.715
2.532 -8.988 0.554
0.212 -9.492 -0.805
0.007 -4.369 3.157
-1.799 -5.080 -0.119
2.454 -8.610 3.261
2.006 -5.003 -0.021
-2.269 -8.705 3.140